<P>
A plane-wave DFT calculation with PBE was carried out for crystalline YOs3Au at its relaxed geometry.

Structure (CIF):
```
data_YOs3Au
_cell_length_a 4.8695
_cell_length_b 4.8695
_cell_length_c 4.8695
_cell_angle_alpha 90.00
_cell_angle_beta 90.00
_cell_angle_gamma 90.00
_space_group_name_H-M_alt 'P m -3 m'
_space_group_IT_number 221
_space_group_name_Hall '-P 4 2 3'
loop_
_atom_site_label
_atom_site_type_symbol
_atom_site_fract_x
_atom_site_fract_y
_atom_site_fract_z
_atom_site_occupancy
Y1 Y 0.0000 0.0000 0.0000 1
Os1 Os 0.0000 0.0000 0.5000 1
Au1 Au 0.5000 0.5000 0.5000 1
```


<Q>
A plane-wave DFT calculation with PBE was carried out for crystalline YOs3Au at its relaxed geometry.

Structure (CIF):
```
data_YOs3Au
_cell_length_a 4.8735
_cell_length_b 4.8735
_cell_length_c 4.8735
_cell_angle_alpha 90.00
_cell_angle_beta 90.00
_cell_angle_gamma 90.00
_space_group_name_H-M_alt 'P m -3 m'
_space_group_IT_number 221
_space_group_name_Hall '-P 4 2 3'
loop_
_atom_site_label
_atom_site_type_symbol
_atom_site_fract_x
_atom_site_fract_y
_atom_site_fract_z
_atom_site_occupancy
Y1 Y 0.0000 0.0000 0.0000 1
Os1 Os 0.0000 0.5000 0.5000 1
Au1 Au 0.5000 0.5000 0.5000 1
```


Energy ordering: <Q> at the bottom, the next structure 896 meV/atom above.


<P>
A plane-wave DFT calculation with PBE was carried out for crystalline Y2Os2Au at its relaxed geometry.

Structure (CIF):
```
data_Y2Os2Au
_cell_length_a 8.3360
_cell_length_b 8.3360
_cell_length_c 3.0326
_cell_angle_alpha 90.00
_cell_angle_beta 90.00
_cell_angle_gamma 90.00
_space_group_name_H-M_alt 'P 4/m b m'
_space_group_IT_number 127
_space_group_name_Hall '-P 4 2ab'
loop_
_atom_site_label
_atom_site_type_symbol
_atom_site_fract_x
_atom_site_fract_y
_atom_site_fract_z
_atom_site_occupancy
Y1 Y 0.1459 0.3541 0.0000 1
Os1 Os 0.1552 0.6552 0.5000 1
Au1 Au 0.0000 0.0000 0.0000 1
```


<Q>
A plane-wave DFT calculation with PBE was carried out for crystalline Y2Os2Au at its relaxed geometry.

Structure (CIF):
```
data_Y2Os2Au
_cell_length_a 3.5967
_cell_length_b 3.5967
_cell_length_c 17.1193
_cell_angle_alpha 90.00
_cell_angle_beta 90.00
_cell_angle_gamma 90.00
_space_group_name_H-M_alt 'I 4/m m m'
_space_group_IT_number 139
_space_group_name_Hall '-I 4 2'
loop_
_atom_site_label
_atom_site_type_symbol
_atom_site_fract_x
_atom_site_fract_y
_atom_site_fract_z
_atom_site_occupancy
Y1 Y 0.0000 0.0000 0.1061 1
Os1 Os 0.0000 0.5000 0.2500 1
Au1 Au 0.0000 0.0000 0.5000 1
```


<R>
A plane-wave DFT calculation with PBE was carried out for crystalline Y2Os2Au at its relaxed geometry.

Structure (CIF):
```
data_Y2Os2Au
_cell_length_a 6.9730
_cell_length_b 6.9730
_cell_length_c 4.3463
_cell_angle_alpha 90.00
_cell_angle_beta 90.00
_cell_angle_gamma 90.00
_space_group_name_H-M_alt 'P 4/m b m'
_space_group_IT_number 127
_space_group_name_Hall '-P 4 2ab'
loop_
_atom_site_label
_atom_site_type_symbol
_atom_site_fract_x
_atom_site_fract_y
_atom_site_fract_z
_atom_site_occupancy
Y1 Y 0.1781 0.3219 0.0000 1
Os1 Os 0.1207 0.6207 0.5000 1
Au1 Au 0.0000 0.0000 0.5000 1
```


Energy ordering: <R> at the bottom, the next structure 96 meV/atom above.


<P>
A plane-wave DFT calculation with PBE was carried out for crystalline ZnOsAu3 at its relaxed geometry.

Structure (CIF):
```
data_ZnOsAu3
_cell_length_a 4.6862
_cell_length_b 4.6862
_cell_length_c 4.6862
_cell_angle_alpha 90.00
_cell_angle_beta 90.00
_cell_angle_gamma 90.00
_space_group_name_H-M_alt 'P m -3 m'
_space_group_IT_number 221
_space_group_name_Hall '-P 4 2 3'
loop_
_atom_site_label
_atom_site_type_symbol
_atom_site_fract_x
_atom_site_fract_y
_atom_site_fract_z
_atom_site_occupancy
Zn1 Zn 0.0000 0.0000 0.0000 1
Os1 Os 0.5000 0.5000 0.5000 1
Au1 Au 0.0000 0.0000 0.5000 1
```


<Q>
A plane-wave DFT calculation with PBE was carried out for crystalline ZnOsAu3 at its relaxed geometry.

Structure (CIF):
```
data_ZnOsAu3
_cell_length_a 5.0611
_cell_length_b 5.0611
_cell_length_c 5.0611
_cell_angle_alpha 90.00
_cell_angle_beta 90.00
_cell_angle_gamma 90.00
_space_group_name_H-M_alt 'P m -3 m'
_space_group_IT_number 221
_space_group_name_Hall '-P 4 2 3'
loop_
_atom_site_label
_atom_site_type_symbol
_atom_site_fract_x
_atom_site_fract_y
_atom_site_fract_z
_atom_site_occupancy
Zn1 Zn 0.0000 0.0000 0.0000 1
Os1 Os 0.5000 0.5000 0.5000 1
Au1 Au 0.0000 0.5000 0.5000 1
```


Energy ordering: <Q> at the bottom, the next structure 113 meV/atom above.


<P>
A plane-wave DFT calculation with PBE was carried out for crystalline ZnOsAu at its relaxed geometry.

Structure (CIF):
```
data_ZnOsAu
_cell_length_a 5.9105
_cell_length_b 5.9105
_cell_length_c 5.9105
_cell_angle_alpha 90.00
_cell_angle_beta 90.00
_cell_angle_gamma 90.00
_space_group_name_H-M_alt 'F -4 3 m'
_space_group_IT_number 216
_space_group_name_Hall 'F -4 2 3'
loop_
_atom_site_label
_atom_site_type_symbol
_atom_site_fract_x
_atom_site_fract_y
_atom_site_fract_z
_atom_site_occupancy
Zn1 Zn 0.0000 0.0000 0.0000 1
Os1 Os 0.2500 0.2500 0.2500 1
Au1 Au 0.2500 0.2500 0.7500 1
```


<Q>
A plane-wave DFT calculation with PBE was carried out for crystalline ZnOsAu at its relaxed geometry.

Structure (CIF):
```
data_ZnOsAu
_cell_length_a 2.7550
_cell_length_b 2.7550
_cell_length_c 12.1988
_cell_angle_alpha 90.00
_cell_angle_beta 90.00
_cell_angle_gamma 90.00
_space_group_name_H-M_alt 'I 4 m m'
_space_group_IT_number 107
_space_group_name_Hall 'I 4 -2'
loop_
_atom_site_label
_atom_site_type_symbol
_atom_site_fract_x
_atom_site_fract_y
_atom_site_fract_z
_atom_site_occupancy
Zn1 Zn 0.0000 0.0000 0.0000 1
Os1 Os 0.0000 0.0000 0.6528 1
Au1 Au 0.0000 0.0000 0.3290 1
```


<R>
A plane-wave DFT calculation with PBE was carried out for crystalline ZnOsAu at its relaxed geometry.

Structure (CIF):
```
data_ZnOsAu
_cell_length_a 2.8356
_cell_length_b 4.7490
_cell_length_c 13.9483
_cell_angle_alpha 90.00
_cell_angle_beta 90.00
_cell_angle_gamma 90.00
_space_group_name_H-M_alt 'F m m 2'
_space_group_IT_number 42
_space_group_name_Hall 'F 2 -2'
loop_
_atom_site_label
_atom_site_type_symbol
_atom_site_fract_x
_atom_site_fract_y
_atom_site_fract_z
_atom_site_occupancy
Zn1 Zn 0.0000 0.0000 0.0000 1
Os1 Os 0.0000 0.0000 0.3448 1
Au1 Au 0.0000 0.0000 0.6642 1
```


Energy ordering: <R> at the bottom, the next structure 25 meV/atom above.